! PBE Ho4TlIr2, relaxed; values from VASP
! Formation energy from the elements = -3.9 eV/f.u.
! Calculated total energy = -84.509 eV/cell
! Relative energy among the computed polymorphs = 0.37 eV/f.u.
&SYSTEM
  ibrav = 0, nat = 14, ntyp = 3
/
ATOMIC_SPECIES
Tl 204.38 Tl.upf
Ir 192.22 Ir.upf
Ho 164.93 Ho.upf
CELL_PARAMETERS angstrom
7.175 0.000 -2.605
-3.556 6.269 -2.514
-0.062 0.000 7.633
ATOMIC_POSITIONS crystal
Tl 0.000 0.000 0.000
Tl 0.750 0.500 0.250
Ir 0.875 0.115 0.490
Ir 0.510 0.385 0.625
Ir 0.375 0.885 0.760
Ir 0.240 0.615 0.125
Ho 0.155 0.901 0.399
Ho 0.601 0.756 0.502
Ho 0.004 0.599 0.748
Ho 0.252 0.256 0.851
Ho 0.595 0.744 0.996
Ho 0.746 0.244 0.845
Ho 0.498 0.099 0.254
Ho 0.149 0.401 0.405

***

! PBE UInFe, relaxed; values from VASP
! Formation energy from the elements = 0.2 eV/f.u.
! Calculated total energy = -44.538 eV/cell
&SYSTEM
  ibrav = 0, nat = 6, ntyp = 3
/
ATOMIC_SPECIES
U 238.03 U.upf
In 114.82 In.upf
Fe 55.84 Fe.upf
CELL_PARAMETERS angstrom
-2.439 0.297 -3.816
3.779 -0.589 -2.461
-1.366 -5.760 0.424
ATOMIC_POSITIONS crystal
U 0.750 0.553 0.785
U 0.250 0.447 0.215
In 0.750 0.953 0.340
In 0.250 0.047 0.660
Fe 0.750 0.152 0.932
Fe 0.250 0.848 0.068

***

! PBE Pr3SmIn, relaxed; values from VASP
! Formation energy from the elements = -1.0 eV/f.u.
! Calculated total energy = -45.517 eV/cell
! Relative energy among the computed polymorphs = 0.00 eV/f.u.
&SYSTEM
  ibrav = 0, nat = 10, ntyp = 3
/
ATOMIC_SPECIES
Pr 140.91 Pr.upf
Sm 150.36 Sm.upf
In 114.82 In.upf
CELL_PARAMETERS angstrom
-0.531 -4.128 2.691
4.799 0.177 1.219
-3.201 5.160 11.847
ATOMIC_POSITIONS crystal
Pr 0.770 0.250 0.108
Pr 0.380 0.250 0.889
Pr 0.574 0.250 0.501
Pr 0.269 0.750 0.111
Pr 0.878 0.750 0.892
Pr 0.075 0.750 0.499
Sm 0.476 0.750 0.696
Sm 0.172 0.250 0.304
In 0.671 0.750 0.307
In 0.978 0.250 0.693

***

! PBE Rb2Pa2RhSe6, relaxed; values from VASP
! Raw formation energy = -25.916 kcal/mol of atoms
! Calculated total energy = -61.548 eV/cell
&SYSTEM
  ibrav = 0, nat = 11, ntyp = 4
/
ATOMIC_SPECIES
Rb 85.47 Rb.upf
Pa 231.04 Pa.upf
Rh 102.91 Rh.upf
Se 78.96 Se.upf
CELL_PARAMETERS angstrom
-6.831 -0.901 -0.005
4.132 -5.513 0.027
0.861 2.106 8.356
ATOMIC_POSITIONS crystal
Rb 0.830 0.170 0.000
Rb 0.170 0.830 0.000
Pa 0.337 0.663 0.500
Pa 0.663 0.337 0.500
Rh 0.000 0.000 0.500
Se 0.746 0.746 0.695
Se 0.063 0.386 0.689
Se 0.254 0.254 0.305
Se 0.386 0.063 0.689
Se 0.937 0.614 0.311
Se 0.614 0.937 0.311

***

! PBE TbY2Sn2, relaxed; values from VASP
! Formation energy from the elements = -3.1 eV/f.u.
! Calculated total energy = -57.284 eV/cell
&SYSTEM
  ibrav = 0, nat = 10, ntyp = 3
/
ATOMIC_SPECIES
Tb 158.93 Tb.upf
Y 88.91 Y.upf
Sn 118.71 Sn.upf
CELL_PARAMETERS angstrom
-1.237 1.060 -4.253
-4.705 -4.763 0.180
-5.439 5.577 5.410
ATOMIC_POSITIONS crystal
Tb 0.406 0.085 0.812
Tb 0.594 0.585 0.188
Y 0.408 0.567 0.815
Y 0.791 0.827 0.583
Y 0.209 0.327 0.417
Y 0.592 0.067 0.185
Sn 0.989 0.827 0.977
Sn 0.819 0.329 0.639
Sn 0.181 0.829 0.361
Sn 0.011 0.327 0.023

***

! PBE TlCuTe2I, relaxed; values from VASP
! Raw formation energy = 1.460 kcal/mol of atoms
! Calculated total energy = -13.979 eV/cell
! Relative energy among the computed polymorphs = 0.00 eV/f.u.
&SYSTEM
  ibrav = 0, nat = 5, ntyp = 4
/
ATOMIC_SPECIES
I 126.90 I.upf
Tl 204.38 Tl.upf
Te 127.60 Te.upf
Cu 63.55 Cu.upf
CELL_PARAMETERS angstrom
5.199 0.000 0.000
0.000 5.199 0.000
0.000 0.000 5.854
ATOMIC_POSITIONS crystal
I 0.000 0.000 0.500
Tl 0.500 0.500 0.500
Te 0.000 0.500 0.000
Te 0.500 0.000 0.000
Cu 0.000 0.000 0.000

***

! PBE PmDyTm, relaxed; values from VASP
! Formation energy from the elements = 0.2 eV/f.u.
! Calculated total energy = -13.607 eV/cell
! Relative energy among the computed polymorphs = 0.23 eV/f.u.
&SYSTEM
  ibrav = 0, nat = 3, ntyp = 3
/
ATOMIC_SPECIES
Tm 168.93 Tm.upf
Pm 145.00 Pm.upf
Dy 162.50 Dy.upf
CELL_PARAMETERS angstrom
-1.043 3.287 0.473
-5.345 -1.600 -0.667
2.315 -0.002 5.120
ATOMIC_POSITIONS crystal
Tm 0.166 0.333 0.667
Pm 0.167 0.000 0.000
Dy 0.667 0.667 0.333

***

! PBE Ac2DyHg, relaxed; values from VASP
! Formation energy from the elements = -0.2 eV/f.u.
! Calculated total energy = -13.309 eV/cell
! Relative energy among the computed polymorphs = 0.58 eV/f.u.
&SYSTEM
  ibrav = 0, nat = 4, ntyp = 3
/
ATOMIC_SPECIES
Ac 227.00 Ac.upf
Hg 200.59 Hg.upf
Dy 162.50 Dy.upf
CELL_PARAMETERS angstrom
-2.894 -0.639 5.026
2.084 -3.549 4.136
2.185 2.231 4.929
ATOMIC_POSITIONS crystal
Ac 0.250 0.250 0.250
Ac 0.750 0.750 0.750
Hg 0.000 0.000 0.000
Dy 0.500 0.500 0.500

***

! PBE Co2Ni5Rh, relaxed; values from VASP
! Formation energy from the elements = 0.5 eV/f.u.
! Calculated total energy = -49.964 eV/cell
! Relative energy among the computed polymorphs = 0.37 eV/f.u.
&SYSTEM
  ibrav = 0, nat = 8, ntyp = 3
/
ATOMIC_SPECIES
Co 58.93 Co.upf
Ni 58.69 Ni.upf
Rh 102.91 Rh.upf
CELL_PARAMETERS angstrom
-1.711 1.742 0.611
-2.420 1.396 -5.568
-5.267 -3.325 -0.081
ATOMIC_POSITIONS crystal
Co 0.744 0.756 0.756
Co 0.256 0.244 0.244
Ni 0.000 0.500 0.500
Ni 0.631 0.596 0.141
Ni 0.369 0.404 0.859
Ni 0.369 0.859 0.404
Ni 0.631 0.141 0.596
Rh 0.000 0.000 0.000

***

! PBE LaTbHoTh, relaxed; values from VASP
! Formation energy from the elements = 0.5 eV/f.u.
! Calculated total energy = -21.052 eV/cell
! Relative energy among the computed polymorphs = 0.44 eV/f.u.
&SYSTEM
  ibrav = 0, nat = 4, ntyp = 4
/
ATOMIC_SPECIES
Tb 158.93 Tb.upf
Ho 164.93 Ho.upf
Th 232.04 Th.upf
La 138.91 La.upf
CELL_PARAMETERS angstrom
-0.115 5.658 0.862
-4.446 3.088 -1.861
-3.693 2.249 3.751
ATOMIC_POSITIONS crystal
Tb 0.000 0.000 0.000
Ho 0.500 0.500 0.500
Th 0.750 0.750 0.750
La 0.250 0.250 0.250

***

! PBE LaHf2Tl2, relaxed; values from VASP
! Formation energy from the elements = 0.5 eV/f.u.
! Calculated total energy = -58.075 eV/cell
! Relative energy among the computed polymorphs = 0.17 eV/f.u.
&SYSTEM
  ibrav = 0, nat = 10, ntyp = 3
/
ATOMIC_SPECIES
Tl 204.38 Tl.upf
Hf 178.49 Hf.upf
La 138.91 La.upf
CELL_PARAMETERS angstrom
8.686 0.000 0.000
0.000 8.686 0.000
0.000 0.000 3.402
ATOMIC_POSITIONS crystal
Tl 0.367 0.867 0.000
Tl 0.867 0.633 0.000
Tl 0.633 0.133 0.000
Tl 0.133 0.367 0.000
Hf 0.165 0.665 0.500
Hf 0.665 0.835 0.500
Hf 0.835 0.335 0.500
Hf 0.335 0.165 0.500
La 0.000 0.000 0.000
La 0.500 0.500 0.000

***

! PBE Pr5GaBi4, relaxed; values from VASP
! Formation energy from the elements = -8.0 eV/f.u.
! Calculated total energy = -50.441 eV/cell
&SYSTEM
  ibrav = 0, nat = 10, ntyp = 3
/
ATOMIC_SPECIES
Pr 140.91 Pr.upf
Ga 69.72 Ga.upf
Bi 208.98 Bi.upf
CELL_PARAMETERS angstrom
6.492 0.000 0.000
3.246 7.259 0.000
3.246 0.000 7.259
ATOMIC_POSITIONS crystal
Pr 0.900 0.397 0.805
Pr 0.297 0.805 0.603
Pr 0.705 0.195 0.397
Pr 0.102 0.603 0.195
Pr 0.501 0.000 0.000
Ga 0.001 0.000 0.000
Bi 0.405 0.398 0.795
Bi 0.802 0.795 0.602
Bi 0.200 0.205 0.398
Bi 0.597 0.602 0.205